(1)
# Cd2HgC2 PBE-GGA relaxed
data_Cd2HgC2
_chemical_formula_sum 'Cd4 Hg2 C4'
_cell_length_a 7.595
_cell_length_b 7.595
_cell_length_c 3.860
_cell_angle_alpha 90.00
_cell_angle_beta 90.00
_cell_angle_gamma 90.00
_symmetry_space_group_name_H-M 'P 4/m b m'
_symmetry_Int_Tables_number 127
_symmetry_space_group_name_Hall '-P 4 2ab'
loop_
_atom_site_label
_atom_site_fract_x
_atom_site_fract_y
_atom_site_fract_z
_atom_site_occupancy
Cd1 0.172 0.328 0.000 1
Hg1 0.000 0.000 0.500 1
C1 0.060 0.440 0.500 1
# **Offset from the most stable computed form**: 0.00 eV/f.u.
# **Energy of formation from the pure elements**: 4.48 eV per formula unit

(2)
# Cd2HgC PBE-GGA relaxed
data_Cd2HgC
_chemical_formula_sum 'Cd8 Hg4 C4'
_cell_length_a 6.689
_cell_length_b 6.689
_cell_length_c 6.689
_cell_angle_alpha 90.00
_cell_angle_beta 90.00
_cell_angle_gamma 90.00
_symmetry_space_group_name_H-M 'F m -3 m'
_symmetry_Int_Tables_number 225
_symmetry_space_group_name_Hall '-F 4 2 3'
loop_
_atom_site_label
_atom_site_fract_x
_atom_site_fract_y
_atom_site_fract_z
_atom_site_occupancy
Cd1 0.250 0.250 0.250 1
Hg1 0.000 0.000 0.000 1
C1 0.000 0.000 0.500 1
# **Offset from the most stable computed form**: 2.28 eV/f.u.
# **Energy of formation from the pure elements**: 5.02 eV per formula unit

(3)
# Cd3HgC PBE-GGA relaxed
data_Cd3HgC
_chemical_formula_sum 'Cd3 Hg1 C1'
_cell_length_a 4.719
_cell_length_b 4.719
_cell_length_c 4.719
_cell_angle_alpha 90.00
_cell_angle_beta 90.00
_cell_angle_gamma 90.00
_symmetry_space_group_name_H-M 'P m -3 m'
_symmetry_Int_Tables_number 221
_symmetry_space_group_name_Hall '-P 4 2 3'
loop_
_atom_site_label
_atom_site_fract_x
_atom_site_fract_y
_atom_site_fract_z
_atom_site_occupancy
Cd1 0.000 0.000 0.500 1
Hg1 0.500 0.500 0.500 1
C1 0.000 0.000 0.000 1
# **Offset from the most stable computed form**: 0.00 eV/f.u.
# **Energy of formation from the pure elements**: 3.30 eV per formula unit

(4)
# Cd2HgC2 PBE-GGA relaxed
data_Cd2HgC2
_chemical_formula_sum 'Cd4 Hg2 C4'
_cell_length_a 4.519
_cell_length_b 4.519
_cell_length_c 8.808
_cell_angle_alpha 90.00
_cell_angle_beta 90.00
_cell_angle_gamma 90.00
_symmetry_space_group_name_H-M 'I 4/m m m'
_symmetry_Int_Tables_number 139
_symmetry_space_group_name_Hall '-I 4 2'
loop_
_atom_site_label
_atom_site_fract_x
_atom_site_fract_y
_atom_site_fract_z
_atom_site_occupancy
Cd1 0.000 0.500 0.250 1
Hg1 0.000 0.000 0.000 1
C1 0.000 0.000 0.425 1
# **Offset from the most stable computed form**: 0.61 eV/f.u.
# **Energy of formation from the pure elements**: 5.09 eV per formula unit

(5)
# CdHgC2 PBE-GGA relaxed
data_CdHgC2
_chemical_formula_sum 'Cd4 Hg4 C8'
_cell_length_a 6.114
_cell_length_b 6.114
_cell_length_c 6.114
_cell_angle_alpha 90.00
_cell_angle_beta 90.00
_cell_angle_gamma 90.00
_symmetry_space_group_name_H-M 'F m -3 m'
_symmetry_Int_Tables_number 225
_symmetry_space_group_name_Hall '-F 4 2 3'
loop_
_atom_site_label
_atom_site_fract_x
_atom_site_fract_y
_atom_site_fract_z
_atom_site_occupancy
Cd1 0.000 0.000 0.000 1
Hg1 0.000 0.000 0.500 1
C1 0.250 0.250 0.250 1
# **Offset from the most stable computed form**: 0.82 eV/f.u.
# **Energy of formation from the pure elements**: 9.52 eV per formula unit

(6)
# CdHgC2 PBE-GGA relaxed
data_CdHgC2
_chemical_formula_sum 'Cd4 Hg4 C8'
_cell_length_a 5.114
_cell_length_b 5.114
_cell_length_c 10.687
_cell_angle_alpha 90.00
_cell_angle_beta 90.00
_cell_angle_gamma 90.00
_symmetry_space_group_name_H-M 'I -4 2 d'
_symmetry_Int_Tables_number 122
_symmetry_space_group_name_Hall 'I -4 2bw'
loop_
_atom_site_label
_atom_site_fract_x
_atom_site_fract_y
_atom_site_fract_z
_atom_site_occupancy
Cd1 0.000 0.000 0.000 1
Hg1 0.000 0.000 0.500 1
C1 0.239 0.250 0.625 1
# **Offset from the most stable computed form**: 0.00 eV/f.u.
# **Energy of formation from the pure elements**: 8.71 eV per formula unit

(7)
# KCdHgC2 PBE-GGA relaxed
data_KCdHgC2
_chemical_formula_sum 'K1 Cd1 Hg1 C2'
_cell_length_a 4.522
_cell_length_b 4.522
_cell_length_c 6.337
_cell_angle_alpha 90.00
_cell_angle_beta 90.00
_cell_angle_gamma 90.00
_symmetry_space_group_name_H-M 'P 4/m m m'
_symmetry_Int_Tables_number 123
_symmetry_space_group_name_Hall '-P 4 2'
loop_
_atom_site_label
_atom_site_fract_x
_atom_site_fract_y
_atom_site_fract_z
_atom_site_occupancy
K1 0.000 0.000 0.000 1
Cd1 0.500 0.500 0.000 1
Hg1 0.000 0.000 0.500 1
C1 0.000 0.500 0.500 1
# **Energy of formation from the pure elements**: 11.10 eV per formula unit

(8)
# LiCdHg2C PBE-GGA relaxed
data_LiCdHg2C
_chemical_formula_sum 'Li1 Cd1 Hg2 C1'
_cell_length_a 5.848
_cell_length_b 5.848
_cell_length_c 4.162
_cell_angle_alpha 90.00
_cell_angle_beta 90.00
_cell_angle_gamma 90.00
_symmetry_space_group_name_H-M 'P 4/m m m'
_symmetry_Int_Tables_number 123
_symmetry_space_group_name_Hall '-P 4 2'
loop_
_atom_site_label
_atom_site_fract_x
_atom_site_fract_y
_atom_site_fract_z
_atom_site_occupancy
Li1 0.000 0.000 0.000 1
Cd1 0.500 0.500 0.500 1
Hg1 0.000 0.500 0.500 1
C1 0.500 0.500 0.000 1
# **Energy of formation from the pure elements**: 5.08 eV per formula unit

Question: What is the energy of formation from the pure elements in the eighth record?
Answer: 5.08 eV per formula unit